Record 1
# AlCr2Cl

A geometry-optimized AlCr2Cl structure (PBE, Alexandria).

abc: 4.769 4.769 4.769
angles: 125.36 125.36 80.94
Positions (direct):
Cl1 0.750 0.250 0.500
Cr1 0.500 0.500 0.000
Cr2 0.000 0.000 0.000
Al1 0.250 0.750 0.500

- ΔE_f (raw): 614.9 meV/atom
- Total moment: 7.93 μB/f.u.
- Space-group type: I4/mmm (139)
- Distance to the lowest polymorph of the same formula: 597 meV/atom


Record 2
# HfZnIO2

A geometry-optimized HfZnIO2 structure (PBE, Alexandria).

abc: 4.090 4.090 5.016
angles: 90.00 90.00 90.00
Positions (direct):
O1 0.000 0.500 0.000
I1 0.000 0.000 0.500
Hf1 0.500 0.500 0.500
O2 0.500 0.000 0.000
Zn1 0.000 0.000 0.000

- ΔE_f (raw): -33.4 meV/atom
- Total moment: 0.00 μB/f.u.
- Space-group type: P4/mmm (123)
- Distance to the lowest polymorph of the same formula: 1515 meV/atom


Record 3
# BaZnNi2

A geometry-optimized BaZnNi2 structure (PBE, Alexandria).

abc: 3.282 3.282 6.950
angles: 90.00 90.00 90.00
Positions (direct):
Ni1 0.000 0.000 0.080
Ni2 0.000 0.000 0.420
Ba1 0.500 0.500 0.750
Zn1 0.500 0.500 0.250

- Total moment: 0.00 μB/f.u.
- Space-group type: P4/mmm (123)
- Energy: -3.488 eV/atom


Record 4
# AsAuBr2

A geometry-optimized AsAuBr2 structure (PBE, Alexandria).

abc: 4.005 3.339 8.297
angles: 111.77 90.00 90.00
Positions (direct):
Au1 0.500 0.750 0.750
As1 0.500 0.250 0.250
Br1 0.000 0.481 0.493
Br2 0.000 0.019 0.007

- ΔE_f (raw): 254.8 meV/atom
- Total moment: 0.00 μB/f.u.
- Space-group type: P2/m (10)
- Distance to the lowest polymorph of the same formula: 474 meV/atom


Record 5
# MoPt2Br

A geometry-optimized MoPt2Br structure (PBE, Alexandria).

abc: 4.637 4.637 6.862
angles: 83.12 83.12 36.98
Positions (direct):
Br1 0.638 0.638 0.467
Pt1 0.952 0.952 0.030
Pt2 0.693 0.693 0.840
Mo1 0.216 0.216 0.164

- ΔE_f (raw): 131.6 meV/atom
- Total moment: 0.00 μB/f.u.
- Space-group type: Cm (8)
- Distance to the lowest polymorph of the same formula: 84 meV/atom


Record 6
# IrRhAu

A geometry-optimized IrRhAu structure (PBE, Alexandria).

abc: 7.617 7.359 2.762
angles: 84.68 74.15 21.17
Positions (direct):
Ir1 0.327 0.327 0.673
Au1 0.001 0.001 0.999
Rh1 0.673 0.673 0.327

- Total moment: 0.00 μB/f.u.
- Space-group type: Fmm2 (42)
- Distance to the lowest polymorph of the same formula: 139 meV/atom


Record 7
# Ba4AgHgI2

A geometry-optimized Ba4AgHgI2 structure (PBE, Alexandria).

abc: 4.823 8.392 9.380
angles: 107.18 90.00 90.00
Positions (direct):
Ba1 0.500 0.239 0.216
Ba2 0.000 0.258 0.780
I1 0.000 0.500 0.500
Ba3 0.000 0.742 0.220
Hg1 0.500 0.500 0.000
Ag1 0.000 0.000 0.000
Ba4 0.500 0.761 0.784
I2 0.500 0.000 0.500

- ΔE_f (raw): -846.5 meV/atom
- Total moment: 0.02 μB/f.u.
- Space-group type: P2/m (10)


Record 8
# TmNi7Sn2As2

A geometry-optimized TmNi7Sn2As2 structure (PBE, Alexandria).

abc: 4.018 4.018 11.751
angles: 84.35 84.35 86.98
Positions (direct):
Ni1 0.500 0.500 0.000
As1 0.439 0.439 0.262
Tm1 0.000 0.000 0.000
As2 0.561 0.561 0.738
Sn1 0.071 0.071 0.650
Ni2 0.966 0.456 0.158
Ni3 0.544 0.034 0.842
Ni4 0.315 0.315 0.457
Ni5 0.685 0.685 0.543
Ni6 0.034 0.544 0.842
Ni7 0.456 0.966 0.158
Sn2 0.929 0.929 0.350

- Total moment: 0.00 μB/f.u.
- Space-group type: C2/m (12)
- Energy: -5.302 eV/atom